(1)
A plane-wave DFT calculation with meta-GGA SCAN was carried out for a crystal of CeSm2S4 relaxed with PBEsol.

Lattice parameters (Å, degrees): 8.352 8.352 8.370 90.00 90.00 90.00
Space group I-42d (No. 122)
Inequivalent atoms, fractional coordinates:
Ce  0.000  0.000  0.000 [4 per cell]
Sm  0.119  0.250  0.625 [8 per cell]
S  0.077  0.174  0.300 [16 per cell]

## Properties
* energy relative to the elements, uncorrected: -2.295 eV per atom
* total moment: 1.7 μB per formula unit


(2)
A plane-wave DFT calculation with meta-GGA SCAN was carried out for a crystal of Ce2SmS4 relaxed with PBEsol.

Lattice parameters (Å, degrees): 8.351 8.351 8.392 90.00 90.00 90.00
Space group I-42d (No. 122)
Inequivalent atoms, fractional coordinates:
Ce  0.126  0.750  0.125 [8 per cell]
Sm  0.000  0.000  0.500 [4 per cell]
S  0.076  0.674  0.453 [16 per cell]

## Properties
* energy relative to the elements, uncorrected: -2.289 eV per atom
* total moment: 2.9 μB per formula unit


(3)
A plane-wave DFT calculation with meta-GGA SCAN was carried out for a crystal of CeTh2S3 relaxed with PBEsol.

Lattice parameters (Å, degrees): 3.9818 3.9818 9.7842 90.00 90.00 120.00
Space group P-3m1 (No. 164)
Inequivalent atoms, fractional coordinates:
Ce  0.0000  0.0000  0.0000 [1 per cell]
Th  0.3333  0.6667  0.6683 [2 per cell]
S  0.0000  0.0000  0.5000 [1 per cell]
S  0.3333  0.6667  0.1633 [2 per cell]

## Properties
* energy relative to the elements, uncorrected: -2.021 eV per atom
* total moment: 0.8 μB per formula unit